(1)
A plane-wave DFT calculation with GGA-PBE was carried out for crystalline BaCa2InH at its relaxed geometry.

a b c (Å): 5.1973 5.1973 5.3463
angles (deg): 90.00 90.00 90.00
Fractional positions:
Ba 0.0000 0.0000 0.0000
Ca 0.0000 0.5000 0.5000
Ca 0.5000 0.0000 0.5000
In 0.5000 0.5000 0.0000
H 0.0000 0.0000 0.5000

Calculated values
total moment: 0.0 μB per cell
electronic total energy: -2.713 eV per atom
N(E_F): 2.1 states/eV/f.u.


(2)
A plane-wave DFT calculation with GGA-PBE was carried out for crystalline BaLi4Bi4 at its relaxed geometry.

a b c (Å): 7.1279 7.1279 9.8740
angles (deg): 90.00 90.00 90.00
Fractional positions:
Ba 0.2500 0.7500 0.2500
Ba 0.7500 0.2500 0.7500
Li 0.0296 0.2500 0.1564
Li 0.2500 0.0296 0.6564
Li 0.2500 0.4704 0.6564
Li 0.4704 0.2500 0.1564
Li 0.5296 0.7500 0.8436
Li 0.7500 0.5296 0.3436
Li 0.7500 0.9704 0.3436
Li 0.9704 0.7500 0.8436
Bi 0.0219 0.2500 0.4520
Bi 0.2500 0.0219 0.9520
Bi 0.2500 0.4781 0.9520
Bi 0.4781 0.2500 0.4520
Bi 0.5219 0.7500 0.5480
Bi 0.7500 0.5219 0.0480
Bi 0.7500 0.9781 0.0480
Bi 0.9781 0.7500 0.5480

Calculated values
formation energy from the elements: -4.24 eV per formula unit
total moment: 0.0 μB per cell
electronic total energy: -3.261 eV per atom
N(E_F): 4.8 states/eV/f.u.